This record from Alexandria via LeMat-Bulk describes crystalline Pm3TmH8 at its relaxed geometry. The functional is PBE.

Cell lengths 5.321, 5.321, 5.321 Å; angles 90.00, 90.00, 90.00 degrees
Space group Pm-3m (No. 221)
One atom of each set of equivalent atoms:
Pm: 0.000 0.000 0.500 (multiplicity 3)
Tm: 0.500 0.500 0.500 (multiplicity 1)
H: 0.259 0.259 0.259 (multiplicity 8)

Values from the calculation:
The raw total energy comes out at -0.3290 Ry/atom. Its total magnetic moment is 0.000 Bohr magnetons per cell.

=====

This record from Alexandria via LeMat-Bulk describes crystalline Sc7Zn2Co2 at its relaxed geometry. The functional is PBE.

Cell lengths 7.072, 10.076, 6.444 Å; angles 90.00, 90.00, 90.00 degrees
Space group Cmmm (No. 65)
One atom of each set of equivalent atoms:
Sc: 0.000 0.000 0.000 (multiplicity 2)
Sc: 0.000 0.500 0.244 (multiplicity 4)
Sc: 0.250 0.250 0.253 (multiplicity 8)
Zn: 0.173 0.000 0.500 (multiplicity 4)
Co: 0.000 0.291 0.000 (multiplicity 4)

Values from the calculation:
The raw total energy comes out at -0.4172 Ry/atom. As for the formation energy: -131.8 kJ/mol of formula units. Its total magnetic moment is 0.001 Bohr magnetons per cell.